Record 1
This record from Alexandria describes KCoRu2 at its PBEsol-relaxed geometry. The functional is SCAN.

Cell: 2.640 2.640 9.772 Å, 90.00 90.00 116.59°
Fractional coordinates of all 4 atoms:
K 0.000 0.000 0.000
Co 0.000 0.000 0.500
Ru 0.500 0.500 0.292
Ru 0.500 0.500 0.708

Output
- Energy of formation: 323 kJ/mol of formula units
- Mass density: 8.18 g/cm³
- M_tot: 3.8 μB per formula unit
- Energy: -22.98 eV/atom
- Distance to the lowest polymorph of the same formula: 0 meV/atom

=====

Record 2
This record from Alexandria describes KCoRu at its PBEsol-relaxed geometry. The functional is SCAN.

Cell: 6.587 6.587 6.587 Å, 153.43 153.43 37.92°
Fractional coordinates of all 3 atoms:
K 0.000 0.000 0.000
Co 0.291 0.291 0.000
Ru 0.715 0.715 0.000

Output
- Energy of formation: 245 kJ/mol of formula units
- Mass density: 5.79 g/cm³
- M_tot: 2.7 μB per formula unit
- Energy: -19.31 eV/atom

=====

Record 3
This record from Alexandria describes KCoRu2W at its PBEsol-relaxed geometry. The functional is SCAN.

Cell: 4.314 4.314 4.463 Å, 90.00 90.00 90.00°
Fractional coordinates of all 5 atoms:
K 0.000 0.000 0.000
Co 0.500 0.500 0.500
Ru 0.000 0.500 0.000
Ru 0.500 0.000 0.000
W 0.000 0.000 0.500

Output
- Energy of formation: 1735 kJ/mol of formula units
- Mass density: 9.68 g/cm³
- M_tot: 2.3 μB per formula unit
- Energy: -29.40 eV/atom

=====

Record 4
This record from Alexandria describes K2CoS at its PBEsol-relaxed geometry. The functional is SCAN.

Cell: 10.758 10.758 10.758 Å, 156.96 156.96 32.80°
Fractional coordinates of all 8 atoms:
K 0.119 0.625 0.994
K 0.375 0.369 0.494
K 0.631 0.125 0.006
K 0.875 0.881 0.506
Co 0.250 0.750 0.500
Co 0.500 0.500 0.000
S 0.000 0.000 0.000
S 0.750 0.250 0.500

Output
- Formation energy from raw total energies: 0.373 eV/atom
- Mass density: 2.95 g/cm³
- M_tot: 1.5 μB per formula unit
- Energy: -10.52 eV/atom